A plane-wave DFT calculation with GGA-PBE was carried out for crystalline SmGaFe at its relaxed geometry.

Cell: 4.470 4.470 4.470 Å, 60.00 60.00 60.00°
Positions (direct):
1 Sm 0.000 0.000 0.000
2 Ga 0.500 0.500 0.500
3 Fe 0.750 0.750 0.750

Results
crystal system	cubic
calculated total energy	-5.25	eV/atom
calculated density	7.3	g/cm³